Entry from Alexandria via LeMat-Bulk: a relaxed CsMn2BiF8 crystal (PBE+U).

Results
Total energy   -65.4 eV per cell
Crystal system   triclinic

Cell lengths 5.4233, 5.5342, 7.8312 Å; angles 83.45, 84.30, 81.91 degrees
Element x y z (fractional)
Cs (0.0000, 0.0000, 0.0000)
Mn (0.4613, 0.4567, 0.2190)
Mn (0.5387, 0.5433, 0.7810)
Bi (0.0000, 0.0000, 0.5000)
F (0.1989, 0.7381, 0.7096)
F (0.2151, 0.7533, 0.3031)
F (0.3043, 0.2441, 0.4291)
F (0.3782, 0.3200, 0.9936)
F (0.6218, 0.6800, 0.0064)
F (0.6957, 0.7559, 0.5709)
F (0.7849, 0.2467, 0.6969)
F (0.8011, 0.2619, 0.2904)